[1]
! AcGaP | the Alexandria database | PBE | relaxed; values from VASP
&SYSTEM
  ibrav = 0, nat = 3, ntyp = 3
/
ATOMIC_SPECIES
Ac 227.00 Ac.upf
P 30.97 P.upf
Ga 69.72 Ga.upf
ATOMIC_POSITIONS crystal
Ac 0.611 0.611 0.221
P 0.986 0.986 0.971
Ga 0.254 0.254 0.507
CELL_PARAMETERS angstrom
4.442 0.000 0.000
0.000 4.442 0.000
-2.221 -2.221 4.287
! Space group: I4mm, No. 107
! Energy above the most stable polymorph in this dataset, meV/atom: 251
! Total magnetic moment, μB per cell: 0.00
! Energy relative to the elements, eV per atom: -0.571

=====

[2]
! Ac3GaP2Pd9 | the Alexandria database | PBE | relaxed; values from VASP
&SYSTEM
  ibrav = 0, nat = 15, ntyp = 4
/
ATOMIC_SPECIES
P 30.97 P.upf
Ac 227.00 Ac.upf
Ga 69.72 Ga.upf
Pd 106.42 Pd.upf
ATOMIC_POSITIONS crystal
P 0.667 0.333 0.831
Ac 0.333 0.667 0.644
Ga 0.000 0.000 0.500
Pd 0.697 0.848 0.290
P 0.333 0.667 0.169
Pd 0.848 0.152 0.710
Pd 0.848 0.697 0.710
Pd 0.152 0.303 0.290
Pd 0.500 0.000 0.000
Ac 0.000 0.000 0.000
Pd 0.000 0.500 0.000
Pd 0.500 0.500 0.000
Pd 0.152 0.848 0.290
Ac 0.667 0.333 0.356
Pd 0.303 0.152 0.710
CELL_PARAMETERS angstrom
-1.490 5.192 3.517
-3.340 -1.337 -5.349
-5.670 -4.845 4.751
! Space group: P-3m1, No. 164
! Total magnetic moment, μB per cell: 0.00
! Energy relative to the elements, eV per atom: -0.760

=====

[3]
! Ac3GaP2Pt6 | the Alexandria database | PBE | relaxed; values from VASP
&SYSTEM
  ibrav = 0, nat = 12, ntyp = 4
/
ATOMIC_SPECIES
Pt 195.08 Pt.upf
Ac 227.00 Ac.upf
P 30.97 P.upf
Ga 69.72 Ga.upf
ATOMIC_POSITIONS crystal
Pt 0.670 0.835 0.285
Pt 0.165 0.835 0.285
Pt 0.835 0.165 0.715
Ac 0.333 0.667 0.597
P 0.333 0.667 0.114
Pt 0.165 0.330 0.285
Ac 0.000 0.000 0.000
Pt 0.330 0.165 0.715
P 0.667 0.333 0.886
Ac 0.667 0.333 0.403
Pt 0.835 0.670 0.715
Ga 0.000 0.000 0.500
CELL_PARAMETERS angstrom
5.749 0.000 0.000
-2.874 4.979 0.000
0.000 0.000 9.838
! Space group: P-3m1, No. 164
! Total magnetic moment, μB per cell: 0.00
! Energy relative to the elements, eV per atom: -0.975

=====

[4]
! Ac3GaP2Pt9 | the Alexandria database | PBE | relaxed; values from VASP
&SYSTEM
  ibrav = 0, nat = 15, ntyp = 4
/
ATOMIC_SPECIES
Ac 227.00 Ac.upf
Pt 195.08 Pt.upf
P 30.97 P.upf
Ga 69.72 Ga.upf
ATOMIC_POSITIONS crystal
Ac 0.333 0.667 0.649
Pt 0.850 0.150 0.711
Pt 0.150 0.300 0.289
Pt 0.850 0.700 0.711
Pt 0.700 0.850 0.289
P 0.333 0.667 0.176
Pt 0.500 0.000 0.000
Pt 0.500 0.500 0.000
Pt 0.150 0.850 0.289
Ac 0.000 0.000 0.000
Ac 0.667 0.333 0.351
P 0.667 0.333 0.824
Pt 0.000 0.500 0.000
Pt 0.300 0.150 0.711
Ga 0.000 0.000 0.500
CELL_PARAMETERS angstrom
6.461 0.000 0.000
-3.230 5.595 0.000
0.000 0.000 8.870
! Space group: P-3m1, No. 164
! Total magnetic moment, μB per cell: 0.00
! Energy relative to the elements, eV per atom: -0.806

=====

[5]
! Ac3GaP2Rh9 | the Alexandria database | PBE | relaxed; values from VASP
&SYSTEM
  ibrav = 0, nat = 15, ntyp = 4
/
ATOMIC_SPECIES
Rh 102.91 Rh.upf
Ga 69.72 Ga.upf
Ac 227.00 Ac.upf
P 30.97 P.upf
ATOMIC_POSITIONS crystal
Rh 0.500 0.500 0.000
Rh 0.500 0.000 0.000
Ga 0.000 0.000 0.500
Rh 0.173 0.347 0.323
Ac 0.333 0.667 0.660
Rh 0.827 0.173 0.677
Ac 0.667 0.333 0.340
P 0.667 0.333 0.842
Ac 0.000 0.000 0.000
Rh 0.827 0.653 0.677
Rh 0.653 0.827 0.323
Rh 0.347 0.173 0.677
Rh 0.173 0.827 0.323
Rh 0.000 0.500 0.000
P 0.333 0.667 0.158
CELL_PARAMETERS angstrom
-5.348 2.951 2.314
2.274 -5.389 2.908
4.498 4.448 4.724
! Space group: P-3m1, No. 164
! Total magnetic moment, μB per cell: 0.00
! Energy relative to the elements, eV per atom: -0.645

=====

[6]
! Ac2GaP3Rh4 | the Alexandria database | PBE | relaxed; values from VASP
&SYSTEM
  ibrav = 0, nat = 10, ntyp = 4
/
ATOMIC_SPECIES
P 30.97 P.upf
Rh 102.91 Rh.upf
Ac 227.00 Ac.upf
Ga 69.72 Ga.upf
ATOMIC_POSITIONS crystal
P 0.000 0.500 0.129
P 0.000 0.000 0.500
Rh 0.500 0.000 0.629
Ac 0.500 0.000 0.253
Ac 0.000 0.500 0.747
Rh 0.000 0.000 0.000
Ga 0.500 0.500 0.500
Rh 0.000 0.500 0.371
P 0.500 0.000 0.871
Rh 0.500 0.500 0.000
CELL_PARAMETERS angstrom
4.262 0.000 0.000
0.000 4.262 0.000
0.000 0.000 10.079
! Space group: P-4m2, No. 115
! Total magnetic moment, μB per cell: 0.20
! Energy relative to the elements, eV per atom: -0.967

=====

[7]
! AcGaPRh3 | the Alexandria database | PBE | relaxed; values from VASP
&SYSTEM
  ibrav = 0, nat = 12, ntyp = 4
/
ATOMIC_SPECIES
Rh 102.91 Rh.upf
P 30.97 P.upf
Ga 69.72 Ga.upf
Ac 227.00 Ac.upf
ATOMIC_POSITIONS crystal
Rh 0.750 0.781 0.561
Rh 0.250 0.219 0.439
Rh 0.000 0.296 0.000
P 0.750 0.598 0.196
Rh 0.500 0.296 0.000
Rh 0.000 0.704 0.000
Ga 0.250 0.015 0.031
Ac 0.750 0.271 0.543
Ga 0.750 0.985 0.969
Rh 0.500 0.704 0.000
Ac 0.250 0.729 0.457
P 0.250 0.402 0.804
CELL_PARAMETERS angstrom
-2.844 5.007 -0.022
-2.919 -1.631 5.936
6.074 3.450 0.025
! Space group: Cmcm, No. 63
! Total magnetic moment, μB per cell: 0.00
! Energy relative to the elements, eV per atom: -0.739

=====

[8]
! AcGaP2S8 | the Alexandria database | PBE | relaxed; values from VASP
&SYSTEM
  ibrav = 0, nat = 12, ntyp = 4
/
ATOMIC_SPECIES
P 30.97 P.upf
Ac 227.00 Ac.upf
S 32.06 S.upf
Ga 69.72 Ga.upf
ATOMIC_POSITIONS crystal
P 0.333 0.667 0.748
Ac 0.000 0.000 0.000
S 0.995 0.682 0.311
S 0.005 0.318 0.689
S 0.682 0.686 0.689
P 0.667 0.333 0.252
S 0.686 0.005 0.311
S 0.318 0.314 0.311
S 0.333 0.667 0.984
S 0.314 0.995 0.689
Ga 0.000 0.000 0.500
S 0.667 0.333 0.016
CELL_PARAMETERS angstrom
5.920 0.000 0.000
-2.960 5.127 0.000
0.000 0.000 8.628
! Space group: P-3, No. 147
! Uncorrected formation energy, kJ/mol of atoms: -65.3
! Total magnetic moment, μB per cell: 0.00